1.
{
  "formula": "LaTa2AsW",
  "functional": "meta-GGA SCAN",
  "state": "PBEsol geometry",
  "e_form_kj_per_mol_fu": 401,
  "n_ef_per_ev_atom": 1.06,
  "e_tot_ev_per_atom": -52.3997,
  "lattice_angstrom": [[4.830, 0.000, 0.000], [0.000, 4.830, 0.000], [0.000, 0.000, 4.711]],
  "species": ["La", "Ta", "Ta", "As", "W"],
  "frac_coords": [[0.000, 0.000, 0.000], [0.000, 0.500, 0.500], [0.500, 0.000, 0.500], [0.500, 0.500, 0.500], [0.500, 0.500, 0.000]]
}

***

2.
{
  "formula": "LaTc2As",
  "functional": "meta-GGA SCAN",
  "state": "PBEsol geometry",
  "e_form_kj_per_mol_fu": 145,
  "n_ef_per_ev_atom": 0.85,
  "e_tot_ev_per_atom": -32.9775,
  "lattice_angstrom": [[3.296, 0.000, 0.000], [0.000, 5.128, 0.000], [0.000, 0.000, 8.319]],
  "species": ["La", "La", "Tc", "Tc", "Tc", "Tc", "As", "As"],
  "frac_coords": [[0.000, 0.000, 0.000], [0.500, 0.500, 0.000], [0.000, 0.500, 0.285], [0.000, 0.500, 0.715], [0.500, 0.000, 0.285], [0.500, 0.000, 0.715], [0.000, 0.000, 0.500], [0.500, 0.500, 0.500]]
}

***

3.
{
  "formula": "LaTc4As",
  "functional": "meta-GGA SCAN",
  "state": "PBEsol geometry",
  "e_form_kj_per_mol_fu": 196,
  "n_ef_per_ev_atom": 1.03,
  "e_tot_ev_per_atom": -33.5847,
  "lattice_angstrom": [[0.000, 3.733, 3.733], [3.733, 0.000, 3.733], [3.733, 3.733, 0.000]],
  "species": ["La", "Tc", "Tc", "Tc", "Tc", "As"],
  "frac_coords": [[0.000, 0.000, 0.000], [0.377, 0.377, 0.377], [0.377, 0.377, 0.870], [0.377, 0.870, 0.377], [0.870, 0.377, 0.377], [0.750, 0.750, 0.750]]
}

***

4.
{
  "formula": "LaTcAs2",
  "functional": "meta-GGA SCAN",
  "state": "PBEsol geometry",
  "e_form_kj_per_mol_fu": -215,
  "n_ef_per_ev_atom": 0.48,
  "e_tot_ev_per_atom": -30.1944,
  "lattice_angstrom": [[3.259, 0.000, 0.000], [0.000, 3.635, 0.000], [0.000, 0.000, 13.750]],
  "species": ["La", "La", "Tc", "Tc", "As", "As", "As", "As"],
  "frac_coords": [[0.000, 0.000, 0.000], [0.500, 0.500, 0.500], [0.000, 0.500, 0.745], [0.500, 0.000, 0.245], [0.000, 0.000, 0.378], [0.000, 0.500, 0.173], [0.500, 0.000, 0.673], [0.500, 0.500, 0.878]]
}

***

5.
{
  "formula": "LaTc2As",
  "functional": "meta-GGA SCAN",
  "state": "PBEsol geometry",
  "e_form_kj_per_mol_fu": 148,
  "n_ef_per_ev_atom": 0.94,
  "e_tot_ev_per_atom": -32.9692,
  "lattice_angstrom": [[3.094, 0.000, 0.000], [-1.547, 2.679, 0.000], [0.000, 0.000, 25.796]],
  "species": ["La", "La", "La", "Tc", "Tc", "Tc", "Tc", "Tc", "Tc", "As", "As", "As"],
  "frac_coords": [[0.000, 0.000, 0.000], [0.333, 0.667, 0.667], [0.667, 0.333, 0.333], [0.000, 0.000, 0.234], [0.000, 0.000, 0.766], [0.333, 0.667, 0.433], [0.333, 0.667, 0.900], [0.667, 0.333, 0.100], [0.667, 0.333, 0.567], [0.000, 0.000, 0.500], [0.333, 0.667, 0.167], [0.667, 0.333, 0.833]]
}

***

6.
{
  "formula": "La2TeAs",
  "functional": "meta-GGA SCAN",
  "state": "PBEsol geometry",
  "n_ef_per_ev_atom": 0.59,
  "e_tot_ev_per_atom": -37.1666,
  "polymorph_energy_ev_per_fu": 2.32,
  "e_form_raw_mev_per_atom": -1253.7,
  "lattice_angstrom": [[4.432, 0.000, 0.000], [0.000, 4.432, 0.000], [0.000, 0.000, 11.221]],
  "species": ["La", "La", "La", "La", "Te", "Te", "As", "As"],
  "frac_coords": [[0.000, 0.000, 0.000], [0.000, 0.500, 0.250], [0.500, 0.000, 0.750], [0.500, 0.500, 0.500], [0.000, 0.000, 0.500], [0.500, 0.500, 0.000], [0.000, 0.500, 0.750], [0.500, 0.000, 0.250]]
}

***

7.
{
  "formula": "La2TeAs",
  "functional": "meta-GGA SCAN",
  "state": "PBEsol geometry",
  "n_ef_per_ev_atom": 0.36,
  "e_tot_ev_per_atom": -37.6707,
  "polymorph_energy_ev_per_fu": 0.30,
  "e_form_raw_mev_per_atom": -1757.8,
  "lattice_angstrom": [[4.421, 0.000, 0.000], [0.000, 4.421, 0.000], [0.000, 0.000, 6.243]],
  "species": ["La", "La", "Te", "As"],
  "frac_coords": [[0.000, 0.000, 0.000], [0.500, 0.500, 0.500], [0.000, 0.000, 0.500], [0.500, 0.500, 0.000]]
}

***

8.
{
  "formula": "La2TeAs",
  "functional": "meta-GGA SCAN",
  "state": "PBEsol geometry",
  "n_ef_per_ev_atom": 0.39,
  "e_tot_ev_per_atom": -37.7469,
  "polymorph_energy_ev_per_fu": 0.00,
  "e_form_raw_mev_per_atom": -1834.0,
  "lattice_angstrom": [[4.379, 0.000, 0.000], [-2.190, 3.793, 0.000], [0.000, 0.000, 22.018]],
  "species": ["La", "La", "La", "La", "La", "La", "Te", "Te", "Te", "As", "As", "As"],
  "frac_coords": [[0.000, 0.000, 0.242], [0.000, 0.000, 0.758], [0.333, 0.667, 0.425], [0.333, 0.667, 0.908], [0.667, 0.333, 0.092], [0.667, 0.333, 0.575], [0.000, 0.000, 0.000], [0.333, 0.667, 0.667], [0.667, 0.333, 0.333], [0.000, 0.000, 0.500], [0.333, 0.667, 0.167], [0.667, 0.333, 0.833]]
}

***

9.
{
  "formula": "La2TeAs",
  "functional": "meta-GGA SCAN",
  "state": "PBEsol geometry",
  "n_ef_per_ev_atom": 0.55,
  "e_tot_ev_per_atom": -37.6848,
  "polymorph_energy_ev_per_fu": 0.25,
  "e_form_raw_mev_per_atom": -1771.8,
  "lattice_angstrom": [[4.300, 0.000, 0.000], [-2.150, 3.724, 0.000], [0.000, 0.000, 23.021]],
  "species": ["La", "La", "La", "La", "La", "La", "Te", "Te", "Te", "As", "As", "As"],
  "frac_coords": [[0.000, 0.000, 0.000], [0.000, 0.000, 0.187], [0.333, 0.667, 0.667], [0.333, 0.667, 0.854], [0.667, 0.333, 0.333], [0.667, 0.333, 0.520], [0.000, 0.000, 0.761], [0.333, 0.667, 0.428], [0.667, 0.333, 0.094], [0.000, 0.000, 0.592], [0.333, 0.667, 0.259], [0.667, 0.333, 0.926]]
}

***

10.
{
  "formula": "La3TlAs",
  "functional": "meta-GGA SCAN",
  "state": "PBEsol geometry",
  "e_form_kj_per_mol_fu": 10,
  "n_ef_per_ev_atom": 0.74,
  "e_tot_ev_per_atom": -44.3514,
  "lattice_angstrom": [[5.854, 0.000, 0.000], [0.000, 5.854, 0.000], [0.000, 0.000, 5.854]],
  "species": ["La", "La", "La", "Tl", "As"],
  "frac_coords": [[0.000, 0.000, 0.500], [0.000, 0.500, 0.000], [0.500, 0.000, 0.000], [0.000, 0.000, 0.000], [0.500, 0.500, 0.500]]
}

***

11.
{
  "formula": "LaTlAs",
  "functional": "meta-GGA SCAN",
  "state": "PBEsol geometry",
  "e_form_kj_per_mol_fu": -180,
  "n_ef_per_ev_atom": 0.63,
  "e_tot_ev_per_atom": -45.8409,
  "polymorph_energy_ev_per_fu": 0.01,
  "lattice_angstrom": [[5.047, 0.000, 0.000], [0.000, 5.566, 0.000], [0.000, 0.000, 11.096]],
  "species": ["La", "La", "La", "La", "Tl", "Tl", "Tl", "Tl", "As", "As", "As", "As"],
  "frac_coords": [[0.000, 0.000, 0.000], [0.000, 0.500, 0.500], [0.500, 0.000, 0.500], [0.500, 0.500, 0.000], [0.000, 0.000, 0.705], [0.000, 0.500, 0.205], [0.500, 0.000, 0.205], [0.500, 0.500, 0.705], [0.000, 0.000, 0.353], [0.000, 0.500, 0.853], [0.500, 0.000, 0.853], [0.500, 0.500, 0.353]]
}

***

12.
{
  "formula": "LaTl2As",
  "functional": "meta-GGA SCAN",
  "state": "PBEsol geometry",
  "e_form_kj_per_mol_fu": -235,
  "n_ef_per_ev_atom": 0.32,
  "e_tot_ev_per_atom": -52.6131,
  "polymorph_energy_ev_per_fu": 0.06,
  "lattice_angstrom": [[4.064, 0.000, 0.000], [0.000, 4.064, 0.000], [0.000, 0.000, 6.954]],
  "species": ["La", "Tl", "Tl", "As"],
  "frac_coords": [[0.000, 0.000, 0.000], [0.000, 0.000, 0.534], [0.500, 0.500, 0.305], [0.500, 0.500, 0.878]]
}

***

13.
{
  "formula": "LaTlAs",
  "functional": "meta-GGA SCAN",
  "state": "PBEsol geometry",
  "e_form_kj_per_mol_fu": -181,
  "n_ef_per_ev_atom": 0.53,
  "e_tot_ev_per_atom": -45.8441,
  "polymorph_energy_ev_per_fu": 0.00,
  "lattice_angstrom": [[3.756, 0.000, 0.000], [0.000, 3.756, 0.000], [0.000, 0.000, 10.947]],
  "species": ["La", "La", "Tl", "Tl", "As", "As"],
  "frac_coords": [[0.000, 0.000, 0.000], [0.500, 0.500, 0.500], [0.000, 0.000, 0.705], [0.500, 0.500, 0.205], [0.000, 0.000, 0.351], [0.500, 0.500, 0.851]]
}

***

14.
{
  "formula": "LaTl2As",
  "functional": "meta-GGA SCAN",
  "state": "PBEsol geometry",
  "e_form_kj_per_mol_fu": -242,
  "n_ef_per_ev_atom": 0.37,
  "e_tot_ev_per_atom": -52.6290,
  "polymorph_energy_ev_per_fu": 0.00,
  "lattice_angstrom": [[4.035, 0.000, 0.000], [0.000, 4.619, 0.000], [0.000, 0.000, 11.300]],
  "species": ["La", "La", "Tl", "Tl", "Tl", "Tl", "As", "As"],
  "frac_coords": [[0.000, 0.000, 0.000], [0.500, 0.500, 0.500], [0.000, 0.500, 0.226], [0.000, 0.500, 0.774], [0.500, 0.000, 0.274], [0.500, 0.000, 0.726], [0.000, 0.000, 0.500], [0.500, 0.500, 0.000]]
}